(1)
Density functional theory data (GGA-PBE) for an optimized crystal structure of Hf2Ni5P3.

## Properties
For the electronic total energy, the calculation gives -7.316 eV per atom. The value obtained for the density is 9.5 g/cm³. For the calculated formation energy, the calculation gives -0.812 eV per atom. The density of states at the Fermi level comes out at 20.49 states/eV/cell. The value obtained for the spin magnetization is 0.00 μB per cell.

a = 3.7424 Å, b = 22.1615 Å, c = 6.2356 Å
α = 90.00°, β = 90.00°, γ = 90.00°
With the nearest neighbours (Å) after each atom.
Space group Cmc2_1 (No. 36)
Inequivalent atoms, fractional coordinates:
1 Hf 0.0000 0.0238 0.0000 x4  5 P 2.53-2.77, 3 Ni 2.74-2.80
2 Hf 0.0000 0.3239 0.9734 x4  9 Ni 2.69-2.86, 4 P 2.71-2.77
3 Ni 0.0000 0.0951 0.6188 x4  3 P 2.24-2.33
4 Ni 0.0000 0.2100 0.1602 x4  4 P 2.22-2.30
5 Ni 0.0000 0.2099 0.7602 x4  3 P 2.28-2.30, 1 Ni 2.49
6 Ni 0.0000 0.3727 0.4685 x4  2 P 2.31-2.40
7 Ni 0.0000 0.4431 0.8306 x4  4 P 2.30-2.40
8 P 0.0000 0.1133 0.2515 x4  4 Ni 2.22-2.33
9 P 0.0000 0.2684 0.4598 x4  7 Ni 2.27-2.31
10 P 0.0000 0.4539 0.2140 x4  5 Ni 2.24-2.40

---

(2)
Density functional theory data (GGA-PBE) for an optimized crystal structure of La2Sm8In.

## Properties
For the electronic total energy, the calculation gives -4.564 eV per atom. The value obtained for the density is 7.0 g/cm³. For the calculated formation energy, the calculation gives 0.013 eV per atom. The density of states at the Fermi level comes out at 30.14 states/eV/cell. The value obtained for the spin magnetization is 0.00 μB per cell.

a = 5.5869 Å, b = 7.7371 Å, c = 17.5405 Å
α = 90.00°, β = 90.00°, γ = 90.00°
With the nearest neighbours (Å) after each atom.
Space group Immm (No. 71)
Inequivalent atoms, fractional coordinates:
1 La 0.0000 0.0000 0.1931 x4  8 Sm 3.46-3.67
2 Sm 0.0000 0.2440 0.0000 x4  2 In 3.42, 7 Sm 3.66-3.78
3 Sm 0.0000 0.2710 0.3648 x8  1 In 3.17, 2 La 3.46, 1 Sm 3.54
4 Sm 0.0000 0.5000 0.1754 x4  8 Sm 3.56-3.76, 4 La 3.62-3.88
5 In 0.0000 0.0000 0.5000 x2  8 Sm 3.17-3.42

---

(3)
Density functional theory data (GGA-PBE) for an optimized crystal structure of KCeBr3.

## Properties
For the electronic total energy, the calculation gives -3.923 eV per atom. The value obtained for the density is 3.4 g/cm³. The density of states at the Fermi level comes out at 10.43 states/eV/cell. The value obtained for the spin magnetization is 1.87 μB per cell.

a = 5.9158 Å, b = 5.9158 Å, c = 5.9158 Å
α = 90.00°, β = 90.00°, γ = 90.00°
With the nearest neighbours (Å) after each atom.
Space group Pm-3m (No. 221)
Inequivalent atoms, fractional coordinates:
1 K 0.0000 0.0000 0.0000 x1  12 Br 4.18
2 Ce 0.5000 0.5000 0.5000 x1  6 Br 2.96
3 Br 0.0000 0.5000 0.5000 x3  2 Ce 2.96

---

(4)
Density functional theory data (GGA-PBE) for an optimized crystal structure of Nd3Tl3SnS8.

## Properties
For the electronic total energy, the calculation gives -5.099 eV per atom. The value obtained for the density is 5.3 g/cm³. The density of states at the Fermi level comes out at 2.02 states/eV/cell. The value obtained for the spin magnetization is 0.00 μB per cell.

a = 8.1972 Å, b = 8.1972 Å, c = 22.8581 Å
α = 90.00°, β = 90.00°, γ = 120.00°
With the nearest neighbours (Å) after each atom.
Space group R-3m (No. 166, hexagonal axes)
Inequivalent atoms, fractional coordinates:
1 Nd 0.0000 0.5000 0.0000 x9  6 S 2.83-2.87
2 Tl 0.0000 0.5000 0.5000 x9  6 S 3.26-3.27
3 Sn 0.0000 0.0000 0.0000 x3  6 S 2.64
4 S 0.0000 0.0000 0.2657 x6  3 Nd 2.83
5 S 0.0257 0.5128 0.7313 x18  1 Sn 2.64, 2 Nd 2.87